Compound: Er4MgRh
Source: the Alexandria database
Functional: SCAN
Structure: PBEsol geometry

Calculated values
- calculated volume (A^3/atom) = 24.98
- E_form (meV per atom) = -477
- space group = F-43m, No. 216

Cell: 9.464 9.464 9.464 Å, 60.00 60.00 60.00°
Fractional coordinates of all 24 atoms:
Er (0.185, 0.185, 0.815)
Er (0.185, 0.815, 0.185)
Er (0.185, 0.815, 0.815)
Er (0.403, 0.403, 0.403)
Er (0.403, 0.403, 0.790)
Er (0.403, 0.790, 0.403)
Er (0.563, 0.563, 0.937)
Er (0.563, 0.937, 0.563)
Er (0.563, 0.937, 0.937)
Er (0.790, 0.403, 0.403)
Er (0.815, 0.185, 0.185)
Er (0.815, 0.185, 0.815)
Er (0.815, 0.815, 0.185)
Er (0.937, 0.563, 0.563)
Er (0.937, 0.563, 0.937)
Er (0.937, 0.937, 0.563)
Mg (0.170, 0.170, 0.170)
Mg (0.170, 0.170, 0.490)
Mg (0.170, 0.490, 0.170)
Mg (0.490, 0.170, 0.170)
Rh (0.176, 0.608, 0.608)
Rh (0.608, 0.176, 0.608)
Rh (0.608, 0.608, 0.176)
Rh (0.608, 0.608, 0.608)

Compound: ErMgRh2
Source: the Alexandria database
Functional: SCAN
Structure: PBEsol geometry

Calculated values
- calculated volume (A^3/atom) = 16.64
- E_form (meV per atom) = -858
- space group = Fm-3m, No. 225

Cell: 4.549 4.549 4.549 Å, 60.00 60.00 60.00°
Fractional coordinates of all 4 atoms:
Er (0.000, 0.000, 0.000)
Mg (0.500, 0.500, 0.500)
Rh (0.250, 0.250, 0.250)
Rh (0.750, 0.750, 0.750)

Compound: Er2MgS4
Source: the Alexandria database
Functional: SCAN
Structure: PBEsol geometry

Calculated values
- energy above the lowest structure with this stoichiometry (eV/f.u.) = 0.148
- calculated volume (A^3/atom) = 20.57
- uncorrected formation energy (eV per atom) = -2.1436
- space group = Cmc2_1, No. 36

Cell: 6.420 6.420 12.622 Å, 90.00 90.00 146.40°
Fractional coordinates of all 14 atoms:
Er (0.120, 0.880, 0.500)
Er (0.361, 0.639, 0.298)
Er (0.639, 0.361, 0.798)
Er (0.880, 0.120, 0.000)
Mg (0.375, 0.625, 0.661)
Mg (0.625, 0.375, 0.161)
S (0.016, 0.984, 0.709)
S (0.261, 0.739, 0.110)
S (0.290, 0.710, 0.852)
S (0.465, 0.535, 0.481)
S (0.535, 0.465, 0.981)
S (0.710, 0.290, 0.352)
S (0.739, 0.261, 0.610)
S (0.984, 0.016, 0.209)

Compound: Er2MgS4
Source: the Alexandria database
Functional: SCAN
Structure: PBEsol geometry

Calculated values
- energy above the lowest structure with this stoichiometry (eV/f.u.) = 0.000
- calculated volume (A^3/atom) = 23.56
- uncorrected formation energy (eV per atom) = -2.1647
- space group = Fd-3m, No. 227

Cell: 7.756 7.756 7.756 Å, 60.00 60.00 60.00°
Fractional coordinates of all 14 atoms:
Er (0.000, 0.000, 0.000)
Er (0.000, 0.000, 0.500)
Er (0.000, 0.500, 0.000)
Er (0.500, 0.000, 0.000)
Mg (0.375, 0.375, 0.375)
Mg (0.625, 0.625, 0.625)
S (0.234, 0.755, 0.755)
S (0.245, 0.245, 0.245)
S (0.245, 0.245, 0.766)
S (0.245, 0.766, 0.245)
S (0.755, 0.234, 0.755)
S (0.755, 0.755, 0.234)
S (0.755, 0.755, 0.755)
S (0.766, 0.245, 0.245)

Compound: ErMg2Sc
Source: the Alexandria database
Functional: SCAN
Structure: PBEsol geometry

Calculated values
- calculated volume (A^3/atom) = 24.11
- E_form (meV per atom) = -46
- space group = Fm-3m, No. 225

Cell: 5.147 5.147 5.147 Å, 60.00 60.00 60.00°
Fractional coordinates of all 4 atoms:
Er (0.000, 0.000, 0.000)
Mg (0.250, 0.250, 0.250)
Mg (0.750, 0.750, 0.750)
Sc (0.500, 0.500, 0.500)

Compound: Er2MgSe4
Source: the Alexandria database
Functional: SCAN
Structure: PBEsol geometry

Calculated values
- energy above the lowest structure with this stoichiometry (eV/f.u.) = 0.511
- calculated volume (A^3/atom) = 24.77
- uncorrected formation energy (eV per atom) = -1.8479
- space group = Pnma, No. 62

Cell: 12.922 3.933 13.645 Å, 90.00 90.00 90.00°
Fractional coordinates of all 28 atoms:
Er (0.114, 0.250, 0.076)
Er (0.144, 0.250, 0.702)
Er (0.356, 0.750, 0.202)
Er (0.386, 0.750, 0.576)
Er (0.614, 0.250, 0.424)
Er (0.644, 0.250, 0.798)
Er (0.856, 0.750, 0.298)
Er (0.886, 0.750, 0.924)
Mg (0.115, 0.750, 0.447)
Mg (0.385, 0.250, 0.947)
Mg (0.615, 0.750, 0.053)
Mg (0.885, 0.250, 0.553)
Se (0.012, 0.750, 0.618)
Se (0.032, 0.250, 0.881)
Se (0.220, 0.250, 0.254)
Se (0.243, 0.250, 0.514)
Se (0.257, 0.750, 0.014)
Se (0.280, 0.750, 0.754)
Se (0.468, 0.750, 0.381)
Se (0.488, 0.250, 0.118)
Se (0.512, 0.750, 0.882)
Se (0.532, 0.250, 0.619)
Se (0.720, 0.250, 0.246)
Se (0.743, 0.250, 0.986)
Se (0.757, 0.750, 0.486)
Se (0.780, 0.750, 0.746)
Se (0.968, 0.750, 0.119)
Se (0.988, 0.250, 0.382)

Compound: Er2MgSe4
Source: the Alexandria database
Functional: SCAN
Structure: PBEsol geometry

Calculated values
- energy above the lowest structure with this stoichiometry (eV/f.u.) = 0.000
- calculated volume (A^3/atom) = 26.90
- uncorrected formation energy (eV per atom) = -1.9209
- space group = Fd-3m, No. 227

Cell: 8.105 8.105 8.105 Å, 60.00 60.00 60.00°
Fractional coordinates of all 14 atoms:
Er (0.000, 0.000, 0.000)
Er (0.000, 0.000, 0.500)
Er (0.000, 0.500, 0.000)
Er (0.500, 0.000, 0.000)
Mg (0.375, 0.375, 0.375)
Mg (0.625, 0.625, 0.625)
Se (0.234, 0.755, 0.755)
Se (0.245, 0.245, 0.245)
Se (0.245, 0.245, 0.766)
Se (0.245, 0.766, 0.245)
Se (0.755, 0.234, 0.755)
Se (0.755, 0.755, 0.234)
Se (0.755, 0.755, 0.755)
Se (0.766, 0.245, 0.245)

Compound: Er2MgSi2
Source: the Alexandria database
Functional: SCAN
Structure: PBEsol geometry

Calculated values
- calculated volume (A^3/atom) = 20.47
- uncorrected formation energy (eV per atom) = -0.7386
- space group = P4/mbm, No. 127

Cell: 7.055 7.055 4.112 Å, 90.00 90.00 90.00°
Fractional coordinates of all 10 atoms:
Er (0.178, 0.322, 0.000)
Er (0.322, 0.822, 0.000)
Er (0.678, 0.178, 0.000)
Er (0.822, 0.678, 0.000)
Mg (0.000, 0.000, 0.500)
Mg (0.500, 0.500, 0.500)
Si (0.119, 0.619, 0.500)
Si (0.381, 0.119, 0.500)
Si (0.619, 0.881, 0.500)
Si (0.881, 0.381, 0.500)

Compound: SmErMg2
Source: the Alexandria database
Functional: SCAN
Structure: PBEsol geometry

Calculated values
- calculated volume (A^3/atom) = 26.41
- E_form (meV per atom) = -83
- space group = Fm-3m, No. 225

Cell: 5.306 5.306 5.306 Å, 60.00 60.00 60.00°
Fractional coordinates of all 4 atoms:
Sm (0.000, 0.000, 0.000)
Er (0.500, 0.500, 0.500)
Mg (0.250, 0.250, 0.250)
Mg (0.750, 0.750, 0.750)

Compound: Er2MgTl
Source: the Alexandria database
Functional: SCAN
Structure: PBEsol geometry

Calculated values
- calculated volume (A^3/atom) = 25.08
- E_form (meV per atom) = -324
- space group = Fm-3m, No. 225

Cell: 5.215 5.215 5.215 Å, 60.00 60.00 60.00°
Fractional coordinates of all 4 atoms:
Er (0.250, 0.250, 0.250)
Er (0.750, 0.750, 0.750)
Mg (0.000, 0.000, 0.000)
Tl (0.500, 0.500, 0.500)

Compound: ErMgTl
Source: the Alexandria database
Functional: SCAN
Structure: PBEsol geometry

Calculated values
- calculated volume (A^3/atom) = 24.13
- E_form (meV per atom) = -520
- space group = P-62m, No. 189

Cell: 7.401 7.401 4.578 Å, 90.00 90.00 120.00°
Fractional coordinates of all 9 atoms:
Er (0.000, 0.568, 0.000)
Er (0.432, 0.432, 0.000)
Er (0.568, 0.000, 0.000)
Mg (0.000, 0.243, 0.500)
Mg (0.243, 0.000, 0.500)
Mg (0.757, 0.757, 0.500)
Tl (0.000, 0.000, 0.000)
Tl (0.333, 0.667, 0.500)
Tl (0.667, 0.333, 0.500)

Compound: ErMn12
Source: the Alexandria database
Functional: SCAN
Structure: PBEsol geometry

Calculated values
- calculated volume (A^3/atom) = 11.48
- E_form (meV per atom) = -4
- space group = I4/mmm, No. 139

Cell: 6.183 6.183 6.183 Å, 97.61 97.61 137.32°
Fractional coordinates of all 13 atoms:
Er (0.000, 0.000, 0.000)
Mn (0.000, 0.000, 0.500)
Mn (0.000, 0.364, 0.364)
Mn (0.000, 0.500, 0.000)
Mn (0.000, 0.636, 0.636)
Mn (0.275, 0.500, 0.775)
Mn (0.364, 0.000, 0.364)
Mn (0.500, 0.000, 0.000)
Mn (0.500, 0.275, 0.775)
Mn (0.500, 0.500, 0.500)
Mn (0.500, 0.725, 0.225)
Mn (0.636, 0.000, 0.636)
Mn (0.725, 0.500, 0.225)

Total magnetic moment list, top to bottom, in μB per formula unit: 0.32 0.00 0.00 0.00 0.00 0.00 0.00 0.00 0.00 0.00 0.00 1.97